(1)
# PBE CsRu, optimized geometry
# Energy relative to the lowest polymorph listed for this composition = 1.68 eV/f.u.
# Magnetization = 0.00 μB/f.u.
# Density of states at the Fermi level = 0.89 states/eV per atom
# Space group = P4_2/mnm, No. 136
# Formation energy = 1.561 eV/atom
data_CsRu
_chemical_formula_sum 'Cs4 Ru4'
_cell_length_a 10.8830
_cell_length_b 10.8830
_cell_length_c 3.1795
_cell_angle_alpha 90.00
_cell_angle_beta 90.00
_cell_angle_gamma 90.00
_space_group_name_H-M_alt 'P 1'
_space_group_IT_number 1
loop_
_space_group_symop_operation_xyz
'x,y,z'
loop_
_atom_site_label
_atom_site_type_symbol
_atom_site_fract_x
_atom_site_fract_y
_atom_site_fract_z
_atom_site_occupancy
Cs1 Cs 0.2058 0.2058 0.0000 1
Cs2 Cs 0.2942 0.7058 0.5000 1
Cs3 Cs 0.7058 0.2942 0.5000 1
Cs4 Cs 0.7942 0.7942 0.0000 1
Ru1 Ru 0.0703 0.9297 0.0000 1
Ru2 Ru 0.4297 0.4297 0.5000 1
Ru3 Ru 0.5703 0.5703 0.5000 1
Ru4 Ru 0.9297 0.0703 0.0000 1


(2)
# PBE CsRu, optimized geometry
# Energy relative to the lowest polymorph listed for this composition = 1.16 eV/f.u.
# Magnetization = 0.74 μB/f.u.
# Density of states at the Fermi level = 1.12 states/eV per atom
# Space group = P6_3/mmc, No. 194
# Formation energy = 1.300 eV/atom
data_CsRu
_chemical_formula_sum 'Cs6 Ru6'
_cell_length_a 8.6230
_cell_length_b 8.6230
_cell_length_c 5.8033
_cell_angle_alpha 90.00
_cell_angle_beta 90.00
_cell_angle_gamma 120.00
_space_group_name_H-M_alt 'P 1'
_space_group_IT_number 1
loop_
_space_group_symop_operation_xyz
'x,y,z'
loop_
_atom_site_label
_atom_site_type_symbol
_atom_site_fract_x
_atom_site_fract_y
_atom_site_fract_z
_atom_site_occupancy
Cs1 Cs 0.1698 0.3396 0.2500 1
Cs2 Cs 0.1698 0.8302 0.2500 1
Cs3 Cs 0.3396 0.1698 0.7500 1
Cs4 Cs 0.6604 0.8302 0.2500 1
Cs5 Cs 0.8302 0.1698 0.7500 1
Cs6 Cs 0.8302 0.6604 0.7500 1
Ru1 Ru 0.1446 0.5723 0.7500 1
Ru2 Ru 0.4277 0.5723 0.7500 1
Ru3 Ru 0.4277 0.8554 0.7500 1
Ru4 Ru 0.5723 0.1446 0.2500 1
Ru5 Ru 0.5723 0.4277 0.2500 1
Ru6 Ru 0.8554 0.4277 0.2500 1


(3)
# PBE CsRu, optimized geometry
# Energy relative to the lowest polymorph listed for this composition = 1.30 eV/f.u.
# Magnetization = 0.10 μB/f.u.
# Density of states at the Fermi level = 1.31 states/eV per atom
# Space group = Fddd, No. 70
# Formation energy = 1.373 eV/atom
data_CsRu
_chemical_formula_sum 'Cs4 Ru4'
_cell_length_a 8.8445
_cell_length_b 7.9143
_cell_length_c 6.0452
_cell_angle_alpha 77.35
_cell_angle_beta 60.82
_cell_angle_gamma 41.83
_space_group_name_H-M_alt 'P 1'
_space_group_IT_number 1
loop_
_space_group_symop_operation_xyz
'x,y,z'
loop_
_atom_site_label
_atom_site_type_symbol
_atom_site_fract_x
_atom_site_fract_y
_atom_site_fract_z
_atom_site_occupancy
Cs1 Cs 0.0414 0.7086 0.0414 1
Cs2 Cs 0.2914 0.9586 0.2914 1
Cs3 Cs 0.7086 0.0414 0.7086 1
Cs4 Cs 0.9586 0.2914 0.9586 1
Ru1 Ru 0.2974 0.2974 0.4526 1
Ru2 Ru 0.4526 0.4526 0.2974 1
Ru3 Ru 0.5474 0.5474 0.7026 1
Ru4 Ru 0.7026 0.7026 0.5474 1


(4)
# PBE CsRu2S3, optimized geometry
# Magnetization = 0.00 μB/f.u.
# Density of states at the Fermi level = 0.26 states/eV per atom
# Space group = Cmcm, No. 63
# E_form (uncorrected) = -0.623 eV/atom
data_CsRu2S3
_chemical_formula_sum 'Cs2 Ru4 S6'
_cell_length_a 7.6930
_cell_length_b 7.6930
_cell_length_c 5.5423
_cell_angle_alpha 90.00
_cell_angle_beta 90.00
_cell_angle_gamma 103.09
_space_group_name_H-M_alt 'P 1'
_space_group_IT_number 1
loop_
_space_group_symop_operation_xyz
'x,y,z'
loop_
_atom_site_label
_atom_site_type_symbol
_atom_site_fract_x
_atom_site_fract_y
_atom_site_fract_z
_atom_site_occupancy
Cs1 Cs 0.1781 0.8219 0.7500 1
Cs2 Cs 0.8219 0.1781 0.2500 1
Ru1 Ru 0.3581 0.3581 0.0000 1
Ru2 Ru 0.3581 0.3581 0.5000 1
Ru3 Ru 0.6419 0.6419 0.0000 1
Ru4 Ru 0.6419 0.6419 0.5000 1
S1 S 0.1222 0.3302 0.7500 1
S2 S 0.3302 0.1222 0.2500 1
S3 S 0.3941 0.6059 0.2500 1
S4 S 0.6059 0.3941 0.7500 1
S5 S 0.6698 0.8778 0.7500 1
S6 S 0.8778 0.6698 0.2500 1


(5)
# PBE CsRu3S, optimized geometry
# Magnetization = 5.43 μB/f.u.
# Density of states at the Fermi level = 1.38 states/eV per atom
# Space group = Pm-3m, No. 221
# E_form (uncorrected) = 3.010 eV/atom
data_CsRu3S
_chemical_formula_sum 'Cs1 Ru3 S1'
_cell_length_a 4.9925
_cell_length_b 4.9925
_cell_length_c 4.9925
_cell_angle_alpha 90.00
_cell_angle_beta 90.00
_cell_angle_gamma 90.00
_space_group_name_H-M_alt 'P 1'
_space_group_IT_number 1
loop_
_space_group_symop_operation_xyz
'x,y,z'
loop_
_atom_site_label
_atom_site_type_symbol
_atom_site_fract_x
_atom_site_fract_y
_atom_site_fract_z
_atom_site_occupancy
Cs1 Cs 0.0000 0.0000 0.0000 1
Ru1 Ru 0.0000 0.0000 0.5000 1
Ru2 Ru 0.0000 0.5000 0.0000 1
Ru3 Ru 0.5000 0.0000 0.0000 1
S1 S 0.5000 0.5000 0.5000 1


(6)
# PBE CsRuS, optimized geometry
# Magnetization = 0.00 μB/f.u.
# Density of states at the Fermi level = 0.43 states/eV per atom
# Space group = P4/nmm, No. 129
# E_form (uncorrected) = -0.470 eV/atom
data_CsRuS
_chemical_formula_sum 'Cs2 Ru2 S2'
_cell_length_a 4.0086
_cell_length_b 4.0086
_cell_length_c 11.6517
_cell_angle_alpha 90.00
_cell_angle_beta 90.00
_cell_angle_gamma 90.00
_space_group_name_H-M_alt 'P 1'
_space_group_IT_number 1
loop_
_space_group_symop_operation_xyz
'x,y,z'
loop_
_atom_site_label
_atom_site_type_symbol
_atom_site_fract_x
_atom_site_fract_y
_atom_site_fract_z
_atom_site_occupancy
Cs1 Cs 0.2500 0.2500 0.2158 1
Cs2 Cs 0.7500 0.7500 0.7842 1
Ru1 Ru 0.2500 0.7500 0.5000 1
Ru2 Ru 0.7500 0.2500 0.5000 1
S1 S 0.2500 0.2500 0.6046 1
S2 S 0.7500 0.7500 0.3954 1


(7)
# PBE CsRu6S8, optimized geometry
# Magnetization = 0.00 μB/f.u.
# Density of states at the Fermi level = 0.58 states/eV per atom
# Space group = R-3, No. 148
# E_form (uncorrected) = -0.296 eV/atom
data_CsRu6S8
_chemical_formula_sum 'Cs1 Ru6 S8'
_cell_length_a 6.6896
_cell_length_b 6.6896
_cell_length_c 6.6896
_cell_angle_alpha 89.82
_cell_angle_beta 89.82
_cell_angle_gamma 89.82
_space_group_name_H-M_alt 'P 1'
_space_group_IT_number 1
loop_
_space_group_symop_operation_xyz
'x,y,z'
loop_
_atom_site_label
_atom_site_type_symbol
_atom_site_fract_x
_atom_site_fract_y
_atom_site_fract_z
_atom_site_occupancy
Cs1 Cs 0.0000 0.0000 0.0000 1
Ru1 Ru 0.2304 0.5843 0.3926 1
Ru2 Ru 0.3926 0.2304 0.5843 1
Ru3 Ru 0.4157 0.6074 0.7696 1
Ru4 Ru 0.5843 0.3926 0.2304 1
Ru5 Ru 0.6074 0.7696 0.4157 1
Ru6 Ru 0.7696 0.4157 0.6074 1
S1 S 0.1118 0.4081 0.7029 1
S2 S 0.2692 0.2692 0.2692 1
S3 S 0.2971 0.8882 0.5919 1
S4 S 0.4081 0.7029 0.1118 1
S5 S 0.5919 0.2971 0.8882 1
S6 S 0.7029 0.1118 0.4081 1
S7 S 0.7308 0.7308 0.7308 1
S8 S 0.8882 0.5919 0.2971 1


(8)
# PBE Cs3RuS4, optimized geometry
# Magnetization = 1.07 μB/f.u.
# Density of states at the Fermi level = 0.71 states/eV per atom
# Space group = Pnma, No. 62
# E_form (uncorrected) = -0.803 eV/atom
data_Cs3RuS4
_chemical_formula_sum 'Cs12 Ru4 S16'
_cell_length_a 9.9180
_cell_length_b 11.7486
_cell_length_c 9.9624
_cell_angle_alpha 90.00
_cell_angle_beta 90.00
_cell_angle_gamma 90.00
_space_group_name_H-M_alt 'P 1'
_space_group_IT_number 1
loop_
_space_group_symop_operation_xyz
'x,y,z'
loop_
_atom_site_label
_atom_site_type_symbol
_atom_site_fract_x
_atom_site_fract_y
_atom_site_fract_z
_atom_site_occupancy
Cs1 Cs 0.0460 0.0422 0.2073 1
Cs2 Cs 0.0460 0.4578 0.2073 1
Cs3 Cs 0.1515 0.7500 0.4173 1
Cs4 Cs 0.3485 0.2500 0.9173 1
Cs5 Cs 0.4540 0.5422 0.7073 1
Cs6 Cs 0.4540 0.9578 0.7073 1
Cs7 Cs 0.5460 0.0422 0.2927 1
Cs8 Cs 0.5460 0.4578 0.2927 1
Cs9 Cs 0.6515 0.7500 0.0827 1
Cs10 Cs 0.8485 0.2500 0.5827 1
Cs11 Cs 0.9540 0.5422 0.7927 1
Cs12 Cs 0.9540 0.9578 0.7927 1
Ru1 Ru 0.2261 0.7500 0.9848 1
Ru2 Ru 0.2739 0.2500 0.4848 1
Ru3 Ru 0.7261 0.7500 0.5152 1
Ru4 Ru 0.7739 0.2500 0.0152 1
S1 S 0.0209 0.7500 0.0718 1
S2 S 0.1677 0.0938 0.5467 1
S3 S 0.1677 0.4062 0.5467 1
S4 S 0.2079 0.7500 0.7638 1
S5 S 0.2921 0.2500 0.2638 1
S6 S 0.3323 0.5938 0.0467 1
S7 S 0.3323 0.9062 0.0467 1
S8 S 0.4791 0.2500 0.5718 1
S9 S 0.5209 0.7500 0.4282 1
S10 S 0.6677 0.0938 0.9533 1
S11 S 0.6677 0.4062 0.9533 1
S12 S 0.7079 0.7500 0.7362 1
S13 S 0.7921 0.2500 0.2362 1
S14 S 0.8323 0.5938 0.4533 1
S15 S 0.8323 0.9062 0.4533 1
S16 S 0.9791 0.2500 0.9282 1


(9)
# PBE CsURuS3, optimized geometry
# Magnetization = 1.89 μB/f.u.
# Density of states at the Fermi level = 1.02 states/eV per atom
# Space group = P2_1/m, No. 11
# E_form (uncorrected) = -1.065 eV/atom
data_CsURuS3
_chemical_formula_sum 'Cs2 U2 Ru2 S6'
_cell_length_a 9.4250
_cell_length_b 3.9140
_cell_length_c 9.7288
_cell_angle_alpha 90.00
_cell_angle_beta 113.30
_cell_angle_gamma 90.00
_space_group_name_H-M_alt 'P 1'
_space_group_IT_number 1
loop_
_space_group_symop_operation_xyz
'x,y,z'
loop_
_atom_site_label
_atom_site_type_symbol
_atom_site_fract_x
_atom_site_fract_y
_atom_site_fract_z
_atom_site_occupancy
Cs1 Cs 0.2090 0.2500 0.2474 1
Cs2 Cs 0.7910 0.7500 0.7526 1
U1 U 0.3241 0.7500 0.8437 1
U2 U 0.6759 0.2500 0.1563 1
Ru1 Ru 0.0829 0.2500 0.5962 1
Ru2 Ru 0.9171 0.7500 0.4038 1
S1 S 0.1358 0.2500 0.8560 1
S2 S 0.1890 0.7500 0.5439 1
S3 S 0.4695 0.7500 0.1487 1
S4 S 0.5305 0.2500 0.8513 1
S5 S 0.8110 0.2500 0.4561 1
S6 S 0.8642 0.7500 0.1440 1


(10)
# PBE CsSb3Ru, optimized geometry
# Energy relative to the lowest polymorph listed for this composition = 10.73 eV/f.u.
# Magnetization = 2.95 μB/f.u.
# Density of states at the Fermi level = 2.97 states/eV per atom
# Space group = Pm-3m, No. 221
# E_form (uncorrected) = 2.384 eV/atom
data_CsSb3Ru
_chemical_formula_sum 'Cs1 Sb3 Ru1'
_cell_length_a 6.0212
_cell_length_b 6.0212
_cell_length_c 6.0212
_cell_angle_alpha 90.00
_cell_angle_beta 90.00
_cell_angle_gamma 90.00
_space_group_name_H-M_alt 'P 1'
_space_group_IT_number 1
loop_
_space_group_symop_operation_xyz
'x,y,z'
loop_
_atom_site_label
_atom_site_type_symbol
_atom_site_fract_x
_atom_site_fract_y
_atom_site_fract_z
_atom_site_occupancy
Cs1 Cs 0.0000 0.0000 0.0000 1
Sb1 Sb 0.0000 0.0000 0.5000 1
Sb2 Sb 0.0000 0.5000 0.0000 1
Sb3 Sb 0.5000 0.0000 0.0000 1
Ru1 Ru 0.5000 0.5000 0.5000 1


(11)
# PBE CsSb2Ru, optimized geometry
# Energy relative to the lowest polymorph listed for this composition = 3.44 eV/f.u.
# Magnetization = 0.00 μB/f.u.
# Density of states at the Fermi level = 0.69 states/eV per atom
# Space group = Fm-3m, No. 225
# E_form (uncorrected) = 0.745 eV/atom
data_CsSb2Ru
_chemical_formula_sum 'Cs1 Sb2 Ru1'
_cell_length_a 5.2392
_cell_length_b 5.2392
_cell_length_c 5.2392
_cell_angle_alpha 60.00
_cell_angle_beta 60.00
_cell_angle_gamma 60.00
_space_group_name_H-M_alt 'P 1'
_space_group_IT_number 1
loop_
_space_group_symop_operation_xyz
'x,y,z'
loop_
_atom_site_label
_atom_site_type_symbol
_atom_site_fract_x
_atom_site_fract_y
_atom_site_fract_z
_atom_site_occupancy
Cs1 Cs 0.0000 0.0000 0.0000 1
Sb1 Sb 0.2500 0.2500 0.2500 1
Sb2 Sb 0.7500 0.7500 0.7500 1
Ru1 Ru 0.5000 0.5000 0.5000 1


(12)
# PBE CsSbRu3, optimized geometry
# Energy relative to the lowest polymorph listed for this composition = 0.00 eV/f.u.
# Magnetization = 3.64 μB/f.u.
# Density of states at the Fermi level = 1.27 states/eV per atom
# Space group = Pm-3m, No. 221
# E_form (uncorrected) = 1.473 eV/atom
data_CsSbRu3
_chemical_formula_sum 'Cs1 Sb1 Ru3'
_cell_length_a 5.0116
_cell_length_b 5.0116
_cell_length_c 5.0116
_cell_angle_alpha 90.00
_cell_angle_beta 90.00
_cell_angle_gamma 90.00
_space_group_name_H-M_alt 'P 1'
_space_group_IT_number 1
loop_
_space_group_symop_operation_xyz
'x,y,z'
loop_
_atom_site_label
_atom_site_type_symbol
_atom_site_fract_x
_atom_site_fract_y
_atom_site_fract_z
_atom_site_occupancy
Cs1 Cs 0.0000 0.0000 0.0000 1
Sb1 Sb 0.5000 0.5000 0.5000 1
Ru1 Ru 0.0000 0.5000 0.5000 1
Ru2 Ru 0.5000 0.0000 0.5000 1
Ru3 Ru 0.5000 0.5000 0.0000 1